# Pu7AsCl12 PBE optimized geometry
data_Pu7AsCl12
_cell_length_a 14.6750
_cell_length_b 14.6750
_cell_length_c 9.9665
_cell_angle_alpha 90.00
_cell_angle_beta 90.00
_cell_angle_gamma 120.00
_symmetry_space_group_name_H-M 'R -3'
_symmetry_Int_Tables_number 148
_symmetry_space_group_name_Hall '-R 3'
loop_
_atom_site_label
_atom_site_type_symbol
_atom_site_fract_x
_atom_site_fract_y
_atom_site_fract_z
Pu1 Pu 0.0000 0.0000 0.0000
Pu2 Pu 0.0445 0.1794 0.3338
As1 As 0.0000 0.0000 0.5000
Cl1 Cl 0.0286 0.5841 0.1606
Cl2 Cl 0.0429 0.1699 0.8309
# formation energy (no corrections): -165.2 kJ/mol of atoms



# TlSbAs4 PBE optimized geometry
data_TlSbAs4
_cell_length_a 8.446
_cell_length_b 8.446
_cell_length_c 8.446
_cell_angle_alpha 90.00
_cell_angle_beta 90.00
_cell_angle_gamma 90.00
_symmetry_space_group_name_H-M 'F -4 3 m'
_symmetry_Int_Tables_number 216
_symmetry_space_group_name_Hall 'F -4 2 3'
loop_
_atom_site_label
_atom_site_type_symbol
_atom_site_fract_x
_atom_site_fract_y
_atom_site_fract_z
Tl1 Tl 0.000 0.000 0.000
Sb1 Sb 0.250 0.250 0.250
As1 As 0.109 0.109 0.609
# formation energy (no corrections): 32.0 kJ/mol of atoms



# Mg5Zn2In12 PBE optimized geometry
data_Mg5Zn2In12
_cell_length_a 14.158
_cell_length_b 7.766
_cell_length_c 9.108
_cell_angle_alpha 90.00
_cell_angle_beta 105.49
_cell_angle_gamma 90.00
_symmetry_space_group_name_H-M 'C 1 2/m 1'
_symmetry_Int_Tables_number 12
loop_
_symmetry_equiv_pos_as_xyz
'x,y,z'
'-x,-y,-z'
'-x,y,-z'
'x,-y,z'
'x+1/2,y+1/2,z'
'-x+1/2,-y+1/2,-z'
'-x+1/2,y+1/2,-z'
'x+1/2,-y+1/2,z'
loop_
_atom_site_label
_atom_site_type_symbol
_atom_site_fract_x
_atom_site_fract_y
_atom_site_fract_z
Mg1 Mg 0.000 0.000 0.000
Mg2 Mg 0.180 0.500 0.460
Mg3 Mg 0.235 0.000 0.034
Zn1 Zn 0.000 0.325 0.500
In1 In 0.042 0.500 0.786
In2 In 0.079 0.000 0.371
In3 In 0.118 0.299 0.113
In4 In 0.169 0.196 0.706
# VASP energy: -2.240 eV per atom



# YSn3B PBE optimized geometry
data_YSn3B
_cell_length_a 5.773
_cell_length_b 5.773
_cell_length_c 5.773
_cell_angle_alpha 90.00
_cell_angle_beta 90.00
_cell_angle_gamma 90.00
_symmetry_space_group_name_H-M 'P m -3 m'
_symmetry_Int_Tables_number 221
_symmetry_space_group_name_Hall '-P 4 2 3'
loop_
_atom_site_label
_atom_site_type_symbol
_atom_site_fract_x
_atom_site_fract_y
_atom_site_fract_z
Y1 Y 0.000 0.000 0.000
Sn1 Sn 0.000 0.000 0.500
B1 B 0.500 0.500 0.500
# relative energy among the computed polymorphs: 1121 meV/atom



# Ba2SrBe PBE optimized geometry
data_Ba2SrBe
_cell_length_a 3.905
_cell_length_b 5.290
_cell_length_c 17.383
_cell_angle_alpha 90.00
_cell_angle_beta 90.00
_cell_angle_gamma 90.00
_symmetry_space_group_name_H-M 'I m m m'
_symmetry_Int_Tables_number 71
_symmetry_space_group_name_Hall '-I 2 2'
loop_
_atom_site_label
_atom_site_type_symbol
_atom_site_fract_x
_atom_site_fract_y
_atom_site_fract_z
Ba1 Ba 0.000 0.000 0.159
Sr1 Sr 0.000 0.500 0.000
Be1 Be 0.000 0.500 0.500
# VASP energy: -1.944 eV per atom



# LiNbFeTe PBE optimized geometry
data_LiNbFeTe
_cell_length_a 3.413
_cell_length_b 3.413
_cell_length_c 5.840
_cell_angle_alpha 90.00
_cell_angle_beta 90.00
_cell_angle_gamma 90.00
_symmetry_space_group_name_H-M 'P 4 m m'
_symmetry_Int_Tables_number 99
loop_
_symmetry_equiv_pos_as_xyz
'x,y,z'
'-y,x,z'
'-x,-y,z'
'y,-x,z'
'-x,y,z'
'y,x,z'
'x,-y,z'
'-y,-x,z'
loop_
_atom_site_label
_atom_site_type_symbol
_atom_site_fract_x
_atom_site_fract_y
_atom_site_fract_z
Li1 Li 0.000 0.000 0.000
Nb1 Nb 0.000 0.000 0.469
Fe1 Fe 0.500 0.500 0.241
Te1 Te 0.500 0.500 0.742
# relative energy among the computed polymorphs: 109 meV/atom
# formation energy (no corrections): 3.0 kJ/mol of atoms



no.,M_tot (μB per cell)
1,123.00
2,0.00
3,0.00
4,0.00
5,0.00
6,2.12